i) The following is a PBE calculation of an optimized crystal structure of W2IN, from Alexandria via LeMat-Bulk.

a = 4.857 Å, b = 4.857 Å, c = 12.633 Å
α = 90.00°, β = 90.00°, γ = 90.00°
Positions (direct):
W  0.119  0.250  0.125
W  0.250  0.619  0.375
W  0.250  0.881  0.875
W  0.381  0.250  0.625
W  0.619  0.750  0.625
W  0.750  0.119  0.875
W  0.750  0.381  0.375
W  0.881  0.750  0.125
I  0.000  0.000  0.500
I  0.000  0.500  0.750
I  0.500  0.000  0.250
I  0.500  0.500  0.000
N  0.000  0.000  0.000
N  0.000  0.500  0.250
N  0.500  0.000  0.750
N  0.500  0.500  0.500

## Properties
Total magnetic moment in μB/f.u.: 0.0



ii) The following is a PBE calculation of an optimized crystal structure of W2IN, from Alexandria via LeMat-Bulk.

a = 6.230 Å, b = 6.230 Å, c = 6.230 Å
α = 90.00°, β = 90.00°, γ = 90.00°
Positions (direct):
W  0.250  0.250  0.250
W  0.250  0.250  0.750
W  0.250  0.750  0.250
W  0.250  0.750  0.750
W  0.750  0.250  0.250
W  0.750  0.250  0.750
W  0.750  0.750  0.250
W  0.750  0.750  0.750
I  0.000  0.000  0.000
I  0.000  0.500  0.500
I  0.500  0.000  0.500
I  0.500  0.500  0.000
N  0.000  0.000  0.500
N  0.000  0.500  0.000
N  0.500  0.000  0.000
N  0.500  0.500  0.500

## Properties
Total magnetic moment in μB/f.u.: 0.0



Stability, lowest: ii)



i) The following is a PBE calculation of an optimized crystal structure of WI2N, from Alexandria via LeMat-Bulk.

a = 6.275 Å, b = 6.275 Å, c = 9.979 Å
α = 90.00°, β = 90.00°, γ = 90.00°
Positions (direct):
W  0.000  0.000  0.000
W  0.000  0.500  0.250
W  0.500  0.000  0.750
W  0.500  0.500  0.500
I  0.233  0.250  0.625
I  0.250  0.733  0.875
I  0.250  0.767  0.375
I  0.267  0.250  0.125
I  0.733  0.750  0.125
I  0.750  0.233  0.375
I  0.750  0.267  0.875
I  0.767  0.750  0.625
N  0.000  0.000  0.500
N  0.000  0.500  0.750
N  0.500  0.000  0.250
N  0.500  0.500  0.000

## Properties
Total magnetic moment in μB/f.u.: 0.0



ii) The following is a PBE calculation of an optimized crystal structure of WI2N, from Alexandria via LeMat-Bulk.

a = 6.659 Å, b = 6.659 Å, c = 6.659 Å
α = 90.00°, β = 90.00°, γ = 90.00°
Positions (direct):
W  0.000  0.000  0.000
W  0.000  0.500  0.500
W  0.500  0.000  0.500
W  0.500  0.500  0.000
I  0.250  0.250  0.250
I  0.250  0.250  0.750
I  0.250  0.750  0.250
I  0.250  0.750  0.750
I  0.750  0.250  0.250
I  0.750  0.250  0.750
I  0.750  0.750  0.250
I  0.750  0.750  0.750
N  0.000  0.000  0.500
N  0.000  0.500  0.000
N  0.500  0.000  0.000
N  0.500  0.500  0.500

## Properties
Total magnetic moment in μB/f.u.: 0.0



Stability, lowest: i)



i) The following is a PBE calculation of an optimized crystal structure of YWI2N, from Alexandria via LeMat-Bulk.

a = 5.681 Å, b = 5.681 Å, c = 3.850 Å
α = 90.00°, β = 90.00°, γ = 90.00°
Positions (direct):
Y  0.000  0.000  0.000
W  0.500  0.500  0.500
I  0.000  0.500  0.500
I  0.500  0.000  0.500
N  0.500  0.500  0.000

## Properties
Total magnetic moment in μB/f.u.: 0.0



ii) The following is a PBE calculation of an optimized crystal structure of YWI2N, from Alexandria via LeMat-Bulk.

a = 6.108 Å, b = 6.108 Å, c = 4.083 Å
α = 90.00°, β = 90.00°, γ = 90.00°
Positions (direct):
Y  0.000  0.000  0.000
W  0.500  0.500  0.500
I  0.000  0.500  0.000
I  0.500  0.000  0.000
N  0.000  0.000  0.500

## Properties
Total magnetic moment in μB/f.u.: 4.8



Stability, lowest: ii)



i) The following is a PBE calculation of an optimized crystal structure of ZrWI2N, from Alexandria via LeMat-Bulk.

a = 5.925 Å, b = 5.925 Å, c = 3.994 Å
α = 90.00°, β = 90.00°, γ = 90.00°
Positions (direct):
Zr  0.000  0.000  0.000
W  0.500  0.500  0.500
I  0.000  0.500  0.000
I  0.500  0.000  0.000
N  0.000  0.000  0.500

## Properties
Total magnetic moment in μB/f.u.: 4.9



ii) The following is a PBE calculation of an optimized crystal structure of ZrWI2N, from Alexandria via LeMat-Bulk.

a = 5.635 Å, b = 5.635 Å, c = 3.811 Å
α = 90.00°, β = 90.00°, γ = 90.00°
Positions (direct):
Zr  0.000  0.000  0.000
W  0.500  0.500  0.500
I  0.000  0.500  0.500
I  0.500  0.000  0.500
N  0.500  0.500  0.000

## Properties
Total magnetic moment in μB/f.u.: 1.4



Stability, lowest: i)



i) The following is a PBE calculation of an optimized crystal structure of YI3N, from Alexandria via LeMat-Bulk.

a = 5.082 Å, b = 5.082 Å, c = 5.082 Å
α = 90.00°, β = 90.00°, γ = 90.00°
Positions (direct):
Y  0.000  0.000  0.000
I  0.000  0.500  0.500
I  0.500  0.000  0.500
I  0.500  0.500  0.000
N  0.500  0.500  0.500

## Properties
Total magnetic moment in μB/f.u.: 0.0



ii) The following is a PBE calculation of an optimized crystal structure of YI3N, from Alexandria via LeMat-Bulk.

a = 7.704 Å, b = 7.714 Å, c = 9.588 Å
α = 90.26°, β = 112.58°, γ = 119.93°
Positions (direct):
Y  0.000  0.000  0.000
Y  0.333  0.666  0.998
I  0.158  0.759  0.206
I  0.175  0.908  0.792
I  0.441  0.401  0.206
I  0.534  0.626  0.791
I  0.798  0.040  0.207
I  0.892  0.266  0.793
N  0.352  0.174  0.519
N  0.981  0.493  0.479

## Properties
Total magnetic moment in μB/f.u.: 3.0



iii) The following is a PBE calculation of an optimized crystal structure of YI3N, from Alexandria via LeMat-Bulk.

a = 6.038 Å, b = 6.038 Å, c = 6.038 Å
α = 90.00°, β = 90.00°, γ = 90.00°
Positions (direct):
Y  0.000  0.000  0.000
I  0.000  0.000  0.500
I  0.000  0.500  0.000
I  0.500  0.000  0.000
N  0.500  0.500  0.500

## Properties
Total magnetic moment in μB/f.u.: 3.0



Stability, lowest: i)



i) The following is a PBE calculation of an optimized crystal structure of YIN2, from Alexandria via LeMat-Bulk.

a = 4.967 Å, b = 4.967 Å, c = 12.504 Å
α = 90.00°, β = 90.00°, γ = 90.00°
Positions (direct):
Y  0.000  0.000  0.000
Y  0.000  0.500  0.250
Y  0.500  0.000  0.750
Y  0.500  0.500  0.500
I  0.000  0.000  0.500
I  0.000  0.500  0.750
I  0.500  0.000  0.250
I  0.500  0.500  0.000
N  0.245  0.250  0.125
N  0.250  0.745  0.375
N  0.250  0.755  0.875
N  0.255  0.250  0.625
N  0.745  0.750  0.625
N  0.750  0.245  0.875
N  0.750  0.255  0.375
N  0.755  0.750  0.125

## Properties
Total magnetic moment in μB/f.u.: 0.0



ii) The following is a PBE calculation of an optimized crystal structure of YIN2, from Alexandria via LeMat-Bulk.

a = 3.635 Å, b = 3.635 Å, c = 19.669 Å
α = 90.00°, β = 90.00°, γ = 120.00°
Positions (direct):
Y  0.000  0.000  0.000
Y  0.333  0.667  0.667
Y  0.667  0.333  0.333
I  0.000  0.000  0.500
I  0.333  0.667  0.167
I  0.667  0.333  0.833
N  0.000  0.000  0.392
N  0.000  0.000  0.608
N  0.333  0.667  0.059
N  0.333  0.667  0.274
N  0.667  0.333  0.726
N  0.667  0.333  0.941

## Properties
Total magnetic moment in μB/f.u.: 0.0



Stability, lowest: i)



i) The following is a PBE calculation of an optimized crystal structure of YI2N, from Alexandria via LeMat-Bulk.

a = 7.472 Å, b = 7.472 Å, c = 7.472 Å
α = 90.00°, β = 90.00°, γ = 90.00°
Positions (direct):
Y  0.000  0.000  0.000
Y  0.000  0.500  0.500
Y  0.500  0.000  0.500
Y  0.500  0.500  0.000
I  0.250  0.250  0.250
I  0.250  0.250  0.750
I  0.250  0.750  0.250
I  0.250  0.750  0.750
I  0.750  0.250  0.250
I  0.750  0.250  0.750
I  0.750  0.750  0.250
I  0.750  0.750  0.750
N  0.000  0.000  0.500
N  0.000  0.500  0.000
N  0.500  0.000  0.000
N  0.500  0.500  0.500

## Properties
Total magnetic moment in μB/f.u.: 2.0



ii) The following is a PBE calculation of an optimized crystal structure of YI2N, from Alexandria via LeMat-Bulk.

a = 5.264 Å, b = 5.264 Å, c = 18.891 Å
α = 90.00°, β = 90.00°, γ = 90.00°
Positions (direct):
Y  0.000  0.000  0.000
Y  0.000  0.500  0.250
Y  0.500  0.000  0.750
Y  0.500  0.500  0.500
I  0.250  0.250  0.125
I  0.250  0.250  0.625
I  0.250  0.750  0.375
I  0.250  0.750  0.875
I  0.750  0.250  0.375
I  0.750  0.250  0.875
I  0.750  0.750  0.125
I  0.750  0.750  0.625
N  0.000  0.000  0.500
N  0.000  0.500  0.750
N  0.500  0.000  0.250
N  0.500  0.500  0.000

## Properties
Total magnetic moment in μB/f.u.: 2.0



Stability, lowest: ii)